[1]
Sm4TeAs2S, optimized geometry, DFT PBE; spin magnetization = 0.0 μB/cell
1.0
4.217 0.000 0.000
0.000 7.354 -0.161
0.000 2.572 6.869
Sm S As Te
4 1 2 1
direct
0.500 0.240 0.742
0.000 0.231 0.269
0.000 0.769 0.731
0.500 0.760 0.258
0.000 0.500 0.500
0.000 0.000 0.000
0.500 0.000 0.500
0.500 0.500 0.000

=====

[2]
Na2PmScO4, optimized geometry, DFT PBE; spin magnetization = 0.0 μB/cell
1.0
-0.203 2.499 -2.267
0.338 -3.910 -4.341
-5.653 0.847 1.441
O Na Pm Sc
4 2 1 1
direct
0.000 0.761 0.211
0.500 0.219 0.207
0.000 0.239 0.789
0.500 0.781 0.793
0.500 0.000 0.500
0.000 0.500 0.500
0.500 0.500 0.000
0.000 0.000 0.000

=====

[3]
GaFe3H, optimized geometry, DFT PBE; spin magnetization = 26.9 μB/cell
1.0
4.755 0.000 0.000
0.000 6.629 0.000
0.000 0.000 6.961
Ga H Fe
4 4 12
direct
0.000 0.500 0.500
0.500 0.000 0.000
0.000 0.000 0.500
0.500 0.500 0.000
0.499 0.750 0.448
0.001 0.250 0.948
0.999 0.750 0.052
0.501 0.250 0.552
0.250 0.750 0.250
0.000 0.575 0.847
0.750 0.250 0.750
0.500 0.575 0.653
0.000 0.425 0.153
0.500 0.425 0.347
0.000 0.925 0.847
0.250 0.250 0.750
0.000 0.075 0.153
0.500 0.075 0.347
0.500 0.925 0.653
0.750 0.750 0.250

=====

[4]
RbIn2IBr2, optimized geometry, DFT PBE; spin magnetization = 0.0 μB/cell
1.0
6.882 0.000 0.000
0.000 8.245 0.082
0.000 -2.757 10.597
I Br In Rb
2 4 4 2
direct
0.250 0.116 0.757
0.750 0.884 0.243
0.250 0.171 0.384
0.250 0.584 0.697
0.750 0.829 0.616
0.750 0.416 0.303
0.507 0.847 0.847
0.993 0.847 0.847
0.007 0.153 0.153
0.493 0.153 0.153
0.750 0.232 0.553
0.250 0.768 0.447

=====

| no. | final energy (eV/f.u.) |
| --- | --- |
| 1 | -48.486 |
| 2 | -55.145 |
| 3 | -31.097 |
| 4 | -16.515 |